No. 1
## Na2V16Mo2O45 (PBE with a Hubbard U)

Data for a relaxed Na2V16Mo2O45 crystal.

The structure in POSCAR format:
```
Na2V16Mo2O45
1.0
9.685 -0.001 -0.035
3.336 9.103 -0.033
4.747 1.056 9.718
Na V Mo O
2 16 2 45
direct
0.257 0.126 0.612
0.077 0.529 0.399
0.326 0.522 0.591
0.652 0.187 0.587
0.992 0.850 0.586
0.686 0.486 0.412
0.012 0.149 0.412
0.351 0.821 0.409
0.068 0.367 0.897
0.400 0.031 0.898
0.733 0.703 0.890
0.937 0.633 0.100
0.266 0.302 0.102
0.599 0.969 0.102
0.956 0.915 0.876
0.621 0.245 0.878
0.291 0.586 0.883
0.371 0.739 0.113
0.043 0.074 0.111
0.700 0.414 0.112
0.403 0.651 0.736
0.739 0.312 0.736
0.067 0.977 0.722
0.588 0.361 0.279
0.927 0.015 0.274
0.266 0.683 0.271
0.787 0.802 0.048
0.102 0.465 0.048
0.448 0.122 0.052
0.212 0.199 0.967
0.560 0.864 0.946
0.872 0.537 0.953
0.260 0.435 0.528
0.571 0.112 0.530
0.938 0.752 0.523
0.769 0.561 0.466
0.078 0.236 0.476
0.408 0.918 0.469
0.330 0.661 0.008
0.651 0.330 0.011
0.999 0.998 0.000
0.480 0.622 0.432
0.805 0.281 0.426
0.140 0.947 0.426
0.534 0.393 0.574
0.858 0.047 0.569
0.201 0.723 0.572
0.415 0.391 0.926
0.745 0.063 0.925
0.088 0.720 0.927
0.582 0.613 0.073
0.912 0.277 0.076
0.254 0.935 0.077
0.066 0.298 0.775
0.367 0.988 0.779
0.710 0.640 0.778
0.965 0.683 0.217
0.269 0.372 0.224
0.621 0.031 0.215
0.227 0.483 0.775
0.555 0.151 0.775
0.888 0.807 0.774
0.779 0.526 0.223
0.108 0.184 0.230
0.453 0.853 0.222
```

Properties
Crystal system: triclinic
Volume (Å³ per cell): 858.48
Total energy (eV per atom): -7.3306

No. 2
## NaCr2IrO8 (PBE with a Hubbard U)

Data for a relaxed NaCr2IrO8 crystal.

The structure in POSCAR format:
```
NaCr2IrO8
1.0
-3.042 -2.414 -2.558
-2.396 -1.251 3.687
-3.522 5.048 -0.575
Na Cr Ir O
1 2 1 8
direct
0.000 0.000 0.500
0.500 0.500 0.735
0.500 0.500 0.265
0.000 0.000 0.000
0.207 0.773 0.215
0.698 0.717 0.000
0.793 0.227 0.215
0.793 0.227 0.785
0.302 0.283 0.000
0.207 0.773 0.785
0.665 0.686 0.500
0.335 0.314 0.500
```

Properties
Crystal system: monoclinic
Volume (Å³ per cell): 131.28
Total energy (eV per atom): -6.5173